Here is crystalline TaC2 at its relaxed geometry from Alexandria. Energies are from GGA-PBE.

abc: 4.9807 2.7001 8.2737
angles: 90.00 90.00 90.00
Space group Pnma (No. 62)
Asymmetric unit:
Ta  0.2208  0.2500  0.1287 [4 per cell]
C  0.1647  0.2500  0.8471 [4 per cell]
C  0.1810  0.2500  0.4010 [4 per cell]

Properties
Calculated volume, Å³/cell: 111
DOS at the Fermi energy, states/eV per cell: 3.3
ΔH_f (0 K), eV per atom: 0.462
Total DFT energy (no corrections), eV for the cell shown: -115.653
Polymorph energy (0 for the lowest one), meV/atom: 258



Here is crystalline TaC2 at its relaxed geometry from Alexandria. Energies are from GGA-PBE.

abc: 5.1628 5.1628 5.1628
angles: 90.00 90.00 90.00
Space group Fm-3m (No. 225)
Asymmetric unit:
Ta  0.0000  0.0000  0.0000 [4 per cell]
C  0.2500  0.2500  0.2500 [8 per cell]

Properties
Calculated volume, Å³/cell: 138
DOS at the Fermi energy, states/eV per cell: 11.2
ΔH_f (0 K), eV per atom: 1.393
Total DFT energy (no corrections), eV for the cell shown: -104.485
Polymorph energy (0 for the lowest one), meV/atom: 1188